Entry 1:
# MgPt2 (PBE-GGA, optimized geometry)
# E_form: -460 meV/atom
# Total magnetization: 0.00 μB/cell
data_MgPt2
_chemical_formula_sum 'Mg4 Pt8'
_space_group_name_H-M_alt 'C m c m'
_space_group_IT_number 63
_space_group_name_Hall '-C 2c 2'
_cell_length_a 2.8246
_cell_length_b 14.3136
_cell_length_c 4.7129
_cell_angle_alpha 90.00
_cell_angle_beta 90.00
_cell_angle_gamma 90.00
loop_
_atom_site_label
_atom_site_type_symbol
_atom_site_fract_x
_atom_site_fract_y
_atom_site_fract_z
_atom_site_occupancy
Mg1 Mg 0.0000 0.2148 0.2500 1
Pt1 Pt 0.0000 0.1215 0.7500 1
Pt2 Pt 0.0000 0.4450 0.7500 1

***

Entry 2:
# MgPt (PBE-GGA, optimized geometry)
# E_form: -132 meV/atom
# Total magnetization: 0.00 μB/cell
data_MgPt
_chemical_formula_sum 'Mg2 Pt2'
_space_group_name_H-M_alt 'P 63/m m c'
_space_group_IT_number 194
_space_group_name_Hall '-P 6c 2c'
_cell_length_a 4.4987
_cell_length_b 4.4987
_cell_length_c 5.2200
_cell_angle_alpha 90.00
_cell_angle_beta 90.00
_cell_angle_gamma 120.00
loop_
_atom_site_label
_atom_site_type_symbol
_atom_site_fract_x
_atom_site_fract_y
_atom_site_fract_z
_atom_site_occupancy
Mg1 Mg 0.3333 0.6667 0.2500 1
Pt1 Pt 0.3333 0.6667 0.7500 1

***

Entry 3:
# Mg2Pt (PBE-GGA, optimized geometry)
# E_form: -721 meV/atom
# Total magnetization: 0.00 μB/cell
data_Mg2Pt
_chemical_formula_sum 'Mg8 Pt4'
_space_group_name_H-M_alt 'I 4/m c m'
_space_group_IT_number 140
_space_group_name_Hall '-I 4 2c'
_cell_length_a 6.3602
_cell_length_b 6.3602
_cell_length_c 5.6683
_cell_angle_alpha 90.00
_cell_angle_beta 90.00
_cell_angle_gamma 90.00
loop_
_atom_site_label
_atom_site_type_symbol
_atom_site_fract_x
_atom_site_fract_y
_atom_site_fract_z
_atom_site_occupancy
Mg1 Mg 0.1808 0.3192 0.0000 1
Pt1 Pt 0.0000 0.0000 0.2500 1